# 1
ZrTiC3 PBE optimized geometry; volume = 61.4 Å³/cell; relative energy among the computed polymorphs = 0.000 eV/atom; space group = Pm-3m (221); DFT formation energy = 1.04 eV per atom
1.0
-2.386 1.407 -2.810
-0.655 -3.673 -1.283
-3.073 -0.310 2.455
C Zr Ti
3 1 1
Direct
0.500 0.000 0.000
0.000 0.000 0.500
0.000 0.500 0.000
0.500 0.500 0.500
0.000 0.000 0.000

***

# 2
ZrTiC2 PBE optimized geometry; volume = 48.6 Å³/cell; relative energy among the computed polymorphs = 0.365 eV/atom; space group = R3m (160); DFT formation energy = -0.38 eV per atom
1.0
-1.367 -2.753 -0.955
0.292 -0.967 -3.056
4.162 -3.929 -0.054
C Ti Zr
2 1 1
Direct
0.088 0.088 0.737
0.244 0.244 0.267
0.497 0.497 0.509
0.671 0.671 0.986

***

# 3
ZrTi2C PBE optimized geometry; volume = 152.4 Å³/cell; space group = I-42d (122); DFT formation energy = 0.37 eV per atom
1.0
6.080 0.000 0.000
0.000 6.080 0.000
3.040 3.040 4.122
Zr C Ti
2 2 4
Direct
0.000 0.000 0.000
0.750 0.250 0.500
0.250 0.750 0.500
0.500 0.500 0.000
0.875 0.726 0.750
0.274 0.625 0.250
0.375 0.524 0.750
0.476 0.125 0.250

***

# 4
ZrTiC2 PBE optimized geometry; volume = 119.1 Å³/cell; relative energy among the computed polymorphs = 0.596 eV/atom; space group = I-42d (122); DFT formation energy = -0.15 eV per atom
1.0
4.908 0.000 0.000
0.000 4.908 0.000
2.454 2.454 4.945
C Ti Zr
4 2 2
Direct
0.150 0.625 0.250
0.875 0.850 0.750
0.375 0.400 0.750
0.600 0.125 0.250
0.250 0.750 0.500
0.500 0.500 0.000
0.000 0.000 0.000
0.750 0.250 0.500

***

# 5
ZrTiC2 PBE optimized geometry; volume = 45.4 Å³/cell; relative energy among the computed polymorphs = 1.149 eV/atom; space group = Fm-3m (225); DFT formation energy = 0.41 eV per atom
1.0
0.000 2.832 2.832
2.832 0.000 2.832
2.832 2.832 0.000
Ti Zr C
1 1 2
Direct
0.000 0.000 0.000
0.500 0.500 0.500
0.750 0.750 0.750
0.250 0.250 0.250

***

# 6
ZrTiC2 PBE optimized geometry; volume = 47.2 Å³/cell; relative energy among the computed polymorphs = 0.033 eV/atom; space group = P4/mmm (123); DFT formation energy = -0.71 eV per atom
1.0
3.226 0.000 0.000
0.000 3.226 0.000
0.000 0.000 4.539
Ti C Zr
1 2 1
Direct
0.000 0.000 0.500
0.500 0.500 0.500
0.000 0.000 0.000
0.500 0.500 0.000

***

# 7
Zr2TiC3 PBE optimized geometry; volume = 173.7 Å³/cell; space group = Cmc2_1 (36); DFT formation energy = -0.51 eV per atom
1.0
4.625 0.000 0.000
0.000 6.613 -0.086
0.000 -3.315 5.723
Zr C Ti
4 6 2
Direct
0.498 0.509 0.835
0.998 0.491 0.165
0.998 0.165 0.491
0.498 0.835 0.509
0.490 0.484 0.166
0.478 0.848 0.848
0.490 0.166 0.484
0.978 0.152 0.152
0.990 0.516 0.834
0.990 0.834 0.516
0.502 0.161 0.161
0.002 0.839 0.839

***

# 8
ZrTiC2 PBE optimized geometry; volume = 49.6 Å³/cell; relative energy among the computed polymorphs = 0.497 eV/atom; space group = P-3m1 (164); DFT formation energy = -0.25 eV per atom
1.0
3.185 0.000 0.000
-1.593 2.758 0.001
0.000 -0.003 5.647
Zr C Ti
1 2 1
Direct
0.000 0.500 0.500
0.667 0.833 0.766
0.333 0.167 0.234
0.000 0.500 0.000

***

# 9
Zr2TiC2 PBE optimized geometry; volume = 146.8 Å³/cell; relative energy among the computed polymorphs = 0.000 eV/atom; space group = C2/m (12); DFT formation energy = -0.68 eV per atom
1.0
4.392 0.000 1.714
1.489 4.843 2.668
-0.189 0.321 6.966
C Zr Ti
4 4 2
Direct
0.496 0.242 0.765
0.172 0.248 0.408
0.828 0.752 0.592
0.504 0.758 0.235
0.016 0.720 0.248
0.331 0.750 0.587
0.984 0.280 0.752
0.669 0.250 0.413
0.652 0.792 0.903
0.348 0.208 0.097

***

# 10
ZrTiC PBE optimized geometry; volume = 46.5 Å³/cell; relative energy among the computed polymorphs = 0.067 eV/atom; space group = P3m1 (156); DFT formation energy = -0.53 eV per atom
1.0
5.203 0.000 0.000
0.000 3.211 0.000
0.000 -1.605 2.781
Zr C Ti
1 1 1
Direct
0.576 0.667 0.333
0.315 0.333 0.667
0.109 0.000 0.000

***

# 11
ZrTi2C PBE optimized geometry; volume = 65.8 Å³/cell; space group = R-3m (166); DFT formation energy = -0.30 eV per atom
1.0
3.053 0.000 0.000
1.527 2.644 0.000
1.527 0.881 8.150
Ti Zr C
2 1 1
Direct
0.880 0.880 0.360
0.120 0.120 0.640
0.000 0.000 0.000
0.500 0.500 0.500

***

# 12
Tl7C6 PBE optimized geometry; volume = 314.9 Å³/cell; space group = R-3m (166); DFT formation energy = 1.52 eV per atom
1.0
8.627 0.045 0.029
5.840 6.349 0.029
5.840 2.581 5.801
C Tl
6 7
Direct
0.330 0.330 0.330
0.173 0.173 0.173
0.118 0.118 0.118
0.827 0.827 0.827
0.670 0.670 0.670
0.882 0.882 0.882
0.581 0.581 0.053
0.947 0.419 0.419
0.581 0.053 0.581
0.500 0.500 0.500
0.053 0.581 0.581
0.419 0.419 0.947
0.419 0.947 0.419

***

# 13
Tl3C2 PBE optimized geometry; volume = 216.1 Å³/cell; relative energy among the computed polymorphs = 0.027 eV/atom; space group = Fdd2 (43); DFT formation energy = 1.62 eV per atom
1.0
0.000 5.277 5.933
3.451 0.000 5.933
3.451 5.277 0.000
Tl C
6 4
Direct
0.066 0.896 0.603
0.647 0.814 0.184
0.073 0.427 0.427
0.436 0.603 0.896
0.823 0.177 0.177
0.354 0.184 0.814
0.616 0.176 0.899
0.310 0.899 0.176
0.351 0.940 0.634
0.074 0.634 0.940

***

# 14
Tl5C4 PBE optimized geometry; volume = 341.6 Å³/cell; relative energy among the computed polymorphs = 0.943 eV/atom; space group = P6_3/mcm (193); DFT formation energy = 2.00 eV per atom
1.0
-1.437 6.129 -4.453
1.722 -6.789 -3.224
-6.442 -1.585 -0.103
Tl C
10 8
Direct
0.761 0.761 0.750
0.000 0.239 0.750
0.761 0.000 0.250
0.333 0.667 0.000
0.667 0.333 0.500
0.000 0.761 0.250
0.239 0.000 0.750
0.667 0.333 0.000
0.333 0.667 0.500
0.239 0.239 0.250
0.528 0.528 0.250
0.000 0.000 0.000
0.000 0.528 0.750
0.472 0.000 0.250
0.528 0.000 0.750
0.000 0.000 0.500
0.000 0.472 0.250
0.472 0.472 0.750

***

# 15
Tl2C3 PBE optimized geometry; volume = 214.8 Å³/cell; relative energy among the computed polymorphs = 0.000 eV/atom; space group = Fdd2 (43); DFT formation energy = 1.08 eV per atom
1.0
0.000 4.576 6.671
3.518 0.000 6.671
3.518 4.576 0.000
C Tl
6 4
Direct
0.687 0.902 0.559
0.852 0.559 0.902
0.348 0.563 0.398
0.744 0.756 0.756
0.494 0.506 0.506
0.691 0.398 0.563
0.986 0.957 0.327
0.923 0.519 0.264
0.731 0.327 0.957
0.293 0.264 0.519

***

# 16
TlC4 PBE optimized geometry; volume = 61.8 Å³/cell; relative energy among the computed polymorphs = 0.000 eV/atom; space group = I4/mmm (139); DFT formation energy = 1.92 eV per atom
1.0
-1.515 1.515 6.731
1.515 -1.515 6.731
1.515 1.515 -6.731
C Tl
4 1
Direct
0.795 0.795 0.000
0.205 0.205 0.000
0.750 0.250 0.500
0.250 0.750 0.500
0.000 0.000 0.000

***

# 17
Tl2C PBE optimized geometry; volume = 136.8 Å³/cell; relative energy among the computed polymorphs = 0.764 eV/atom; space group = P6_3/mmc (194); DFT formation energy = 1.45 eV per atom
1.0
1.812 -3.138 0.000
1.812 3.138 0.000
0.000 0.000 12.030
C Tl
2 4
Direct
0.667 0.333 0.750
0.333 0.667 0.250
0.000 0.000 0.873
0.000 0.000 0.127
0.000 0.000 0.627
0.000 0.000 0.373

***

# 18
Tl2C PBE optimized geometry; volume = 68.0 Å³/cell; relative energy among the computed polymorphs = 0.857 eV/atom; space group = Fmmm (69); DFT formation energy = 1.54 eV per atom
1.0
2.026 -6.339 -1.156
-1.458 -6.123 -1.051
1.286 -0.348 -3.228
Tl C
2 1
Direct
0.368 0.368 0.632
0.632 0.632 0.368
0.000 0.000 0.000

***

# 19
Tl5C7 PBE optimized geometry; volume = 225.9 Å³/cell; space group = I4mm (107); DFT formation energy = 1.32 eV per atom
1.0
-3.208 1.370 6.313
-1.579 -2.429 -6.605
3.673 -5.814 2.173
Tl C
5 7
Direct
0.216 0.216 0.630
0.919 0.919 0.000
0.586 0.586 0.370
0.586 0.216 0.000
0.216 0.586 0.000
0.436 0.436 0.000
0.980 0.390 0.590
0.390 0.980 0.590
0.390 0.800 0.410
0.800 0.390 0.410
0.140 0.640 0.500
0.640 0.140 0.500

***

# 20
Tl2C PBE optimized geometry; volume = 158.5 Å³/cell; relative energy among the computed polymorphs = 0.000 eV/atom; space group = C2/m (12); DFT formation energy = 0.69 eV per atom
1.0
-6.512 0.555 1.357
-4.879 -0.501 4.528
-0.192 6.377 2.223
Tl C
4 2
Direct
0.087 0.087 0.786
0.913 0.913 0.214
0.178 0.178 0.272
0.822 0.822 0.728
0.505 0.505 0.593
0.495 0.495 0.407

***

# 21
Tl5C4 PBE optimized geometry; volume = 239.4 Å³/cell; relative energy among the computed polymorphs = 0.000 eV/atom; space group = I4/mmm (139); DFT formation energy = 1.05 eV per atom
1.0
-4.033 4.033 3.679
4.033 -4.033 3.679
4.033 4.033 -3.679
C Tl
4 5
Direct
0.000 0.579 0.579
0.579 0.000 0.579
0.421 0.000 0.421
0.000 0.421 0.421
0.297 0.703 0.000
0.297 0.297 0.593
0.703 0.297 0.000
0.703 0.703 0.407
0.000 0.000 0.000

***

# 22
TlC4 PBE optimized geometry; volume = 89.3 Å³/cell; relative energy among the computed polymorphs = 0.209 eV/atom; space group = I4/mmm (139); DFT formation energy = 2.13 eV per atom
1.0
4.474 0.410 -1.941
-0.414 1.197 4.727
-1.208 -4.731 -0.327
C Tl
4 1
Direct
0.608 0.000 0.608
0.000 0.392 0.392
0.392 0.000 0.392
0.000 0.608 0.608
0.000 0.000 0.000

***

# 23
Tl2C PBE optimized geometry; volume = 76.3 Å³/cell; relative energy among the computed polymorphs = 0.638 eV/atom; space group = R3m (160); DFT formation energy = 1.32 eV per atom
1.0
-5.834 1.416 2.138
-4.731 -1.839 3.853
-3.439 1.542 5.138
Tl C
2 1
Direct
0.717 0.717 0.717
0.526 0.526 0.526
0.091 0.091 0.091

***

# 24
Tl2C PBE optimized geometry; volume = 146.2 Å³/cell; relative energy among the computed polymorphs = 0.835 eV/atom; space group = Cmmm (65); DFT formation energy = 1.52 eV per atom
1.0
3.266 -6.303 0.000
3.266 6.303 0.000
0.000 0.000 3.552
Tl C
4 2
Direct
0.500 0.500 0.500
0.237 0.763 0.500
0.763 0.237 0.500
0.000 0.000 0.000
0.377 0.623 0.000
0.623 0.377 0.000

***

# 25
Tl2C PBE optimized geometry; volume = 128.1 Å³/cell; relative energy among the computed polymorphs = 0.905 eV/atom; space group = I4/mcm (140); DFT formation energy = 1.59 eV per atom
1.0
1.747 3.614 3.772
-4.224 -3.100 1.700
4.197 -3.393 -1.102
Tl C
4 2
Direct
0.673 0.827 0.500
0.327 0.173 0.500
0.173 0.673 0.846
0.827 0.327 0.154
0.750 0.750 0.000
0.250 0.250 0.000

***

# 26
Tl2C PBE optimized geometry; volume = 135.2 Å³/cell; relative energy among the computed polymorphs = 0.908 eV/atom; space group = I4_1/amd (141); DFT formation energy = 1.59 eV per atom
1.0
-1.645 1.645 12.495
1.645 -1.645 12.495
1.645 1.645 -12.495
Tl C
4 2
Direct
0.563 0.563 0.000
0.187 0.687 0.500
0.437 0.437 0.000
0.313 0.813 0.500
0.750 0.250 0.500
0.000 0.000 0.000